Compound: DyHfIn2
Source: Alexandria
Functional: PBE
Structure: optimized geometry

The structure in CIF format:
```
data_DyHfIn2
_cell_length_a 3.793
_cell_length_b 3.793
_cell_length_c 6.692
_cell_angle_alpha 90.00
_cell_angle_beta 90.00
_cell_angle_gamma 90.00
_space_group_name_H-M_alt 'P 1'
_space_group_IT_number 1
loop_
_space_group_symop_operation_xyz
'x,y,z'
loop_
_atom_site_label
_atom_site_type_symbol
_atom_site_fract_x
_atom_site_fract_y
_atom_site_fract_z
Dy1 Dy 0.000 0.000 0.000
Hf1 Hf 0.000 0.000 0.500
In1 In 0.500 0.500 0.269
In2 In 0.500 0.500 0.731
```

Properties
**Energy of formation**: -198 meV/atom
**VASP energy**: -20.823 eV/cell
**Symmetry**: P4/mmm
**Volume**: 96.29 Å³/cell

Compound: Dy2HfIn
Source: Alexandria
Functional: PBE
Structure: optimized geometry

The structure in CIF format:
```
data_Dy2HfIn
_cell_length_a 4.674
_cell_length_b 4.674
_cell_length_c 4.693
_cell_angle_alpha 90.00
_cell_angle_beta 90.00
_cell_angle_gamma 90.00
_space_group_name_H-M_alt 'P 1'
_space_group_IT_number 1
loop_
_space_group_symop_operation_xyz
'x,y,z'
loop_
_atom_site_label
_atom_site_type_symbol
_atom_site_fract_x
_atom_site_fract_y
_atom_site_fract_z
Dy1 Dy 0.000 0.500 0.000
Dy2 Dy 0.500 0.000 0.000
Hf1 Hf 0.000 0.000 0.500
In1 In 0.500 0.500 0.500
```

Properties
**Energy of formation**: -136 meV/atom
**ΔE to the lowest computed polymorph**: 19 meV/atom
**VASP energy**: -22.438 eV/cell
**Symmetry**: P4/mmm
**Volume**: 102.52 Å³/cell

Compound: Dy2HfIn
Source: Alexandria
Functional: PBE
Structure: optimized geometry

The structure in CIF format:
```
data_Dy2HfIn
_cell_length_a 11.965
_cell_length_b 11.965
_cell_length_c 11.965
_cell_angle_alpha 15.72
_cell_angle_beta 15.72
_cell_angle_gamma 15.72
_space_group_name_H-M_alt 'P 1'
_space_group_IT_number 1
loop_
_space_group_symop_operation_xyz
'x,y,z'
loop_
_atom_site_label
_atom_site_type_symbol
_atom_site_fract_x
_atom_site_fract_y
_atom_site_fract_z
Dy1 Dy 0.090 0.090 0.090
Dy2 Dy 0.910 0.910 0.910
Hf1 Hf 0.000 0.000 0.000
In1 In 0.500 0.500 0.500
```

Properties
**Energy of formation**: 248 meV/atom
**ΔE to the lowest computed polymorph**: 403 meV/atom
**VASP energy**: -20.904 eV/cell
**Symmetry**: R-3m
**Volume**: 109.62 Å³/cell

Compound: DyHfIn2
Source: Alexandria
Functional: PBE
Structure: optimized geometry

The structure in CIF format:
```
data_DyHfIn2
_cell_length_a 4.657
_cell_length_b 4.657
_cell_length_c 4.402
_cell_angle_alpha 90.00
_cell_angle_beta 90.00
_cell_angle_gamma 90.00
_space_group_name_H-M_alt 'P 1'
_space_group_IT_number 1
loop_
_space_group_symop_operation_xyz
'x,y,z'
loop_
_atom_site_label
_atom_site_type_symbol
_atom_site_fract_x
_atom_site_fract_y
_atom_site_fract_z
Dy1 Dy 0.000 0.000 0.000
Hf1 Hf 0.500 0.500 0.000
In1 In 0.000 0.500 0.500
In2 In 0.500 0.000 0.500
```

Properties
**Energy of formation**: -224 meV/atom
**VASP energy**: -20.927 eV/cell
**Symmetry**: P4/mmm
**Volume**: 95.48 Å³/cell

Compound: DyHfMgIn
Source: Alexandria
Functional: PBE
Structure: optimized geometry

The structure in CIF format:
```
data_DyHfMgIn
_cell_length_a 5.113
_cell_length_b 5.113
_cell_length_c 5.113
_cell_angle_alpha 60.00
_cell_angle_beta 60.00
_cell_angle_gamma 60.00
_space_group_name_H-M_alt 'P 1'
_space_group_IT_number 1
loop_
_space_group_symop_operation_xyz
'x,y,z'
loop_
_atom_site_label
_atom_site_type_symbol
_atom_site_fract_x
_atom_site_fract_y
_atom_site_fract_z
Dy1 Dy 0.000 0.000 0.000
Hf1 Hf 0.500 0.500 0.500
Mg1 Mg 0.250 0.250 0.250
In1 In 0.750 0.750 0.750
```

Properties
**Energy of formation**: -88 meV/atom
**VASP energy**: -19.239 eV/cell
**Symmetry**: F-43m
**Volume**: 94.51 Å³/cell

Compound: DyHfTlIn
Source: Alexandria
Functional: PBE
Structure: optimized geometry

The structure in CIF format:
```
data_DyHfTlIn
_cell_length_a 5.173
_cell_length_b 5.173
_cell_length_c 5.173
_cell_angle_alpha 60.00
_cell_angle_beta 60.00
_cell_angle_gamma 60.00
_space_group_name_H-M_alt 'P 1'
_space_group_IT_number 1
loop_
_space_group_symop_operation_xyz
'x,y,z'
loop_
_atom_site_label
_atom_site_type_symbol
_atom_site_fract_x
_atom_site_fract_y
_atom_site_fract_z
Dy1 Dy 0.000 0.000 0.000
Hf1 Hf 0.500 0.500 0.500
Tl1 Tl 0.750 0.750 0.750
In1 In 0.250 0.250 0.250
```

Properties
**Energy of formation**: -82 meV/atom
**VASP energy**: -19.986 eV/cell
**Symmetry**: F-43m
**Volume**: 97.87 Å³/cell

Compound: DyHfZnIn
Source: Alexandria
Functional: PBE
Structure: optimized geometry

The structure in CIF format:
```
data_DyHfZnIn
_cell_length_a 4.998
_cell_length_b 4.998
_cell_length_c 4.998
_cell_angle_alpha 60.00
_cell_angle_beta 60.00
_cell_angle_gamma 60.00
_space_group_name_H-M_alt 'P 1'
_space_group_IT_number 1
loop_
_space_group_symop_operation_xyz
'x,y,z'
loop_
_atom_site_label
_atom_site_type_symbol
_atom_site_fract_x
_atom_site_fract_y
_atom_site_fract_z
Dy1 Dy 0.000 0.000 0.000
Hf1 Hf 0.500 0.500 0.500
Zn1 Zn 0.750 0.750 0.750
In1 In 0.250 0.250 0.250
```

Properties
**Energy of formation**: -189 meV/atom
**VASP energy**: -19.325 eV/cell
**Symmetry**: F-43m
**Volume**: 88.27 Å³/cell

Compound: Dy5HfIr6
Source: Alexandria
Functional: PBE
Structure: optimized geometry

The structure in CIF format:
```
data_Dy5HfIr6
_cell_length_a 7.480
_cell_length_b 7.480
_cell_length_c 7.053
_cell_angle_alpha 90.00
_cell_angle_beta 90.00
_cell_angle_gamma 143.24
_space_group_name_H-M_alt 'P 1'
_space_group_IT_number 1
loop_
_space_group_symop_operation_xyz
'x,y,z'
loop_
_atom_site_label
_atom_site_type_symbol
_atom_site_fract_x
_atom_site_fract_y
_atom_site_fract_z
Dy1 Dy 0.000 0.000 0.000
Dy2 Dy 0.332 0.668 0.500
Dy3 Dy 0.334 0.666 0.000
Dy4 Dy 0.666 0.334 0.000
Dy5 Dy 0.668 0.332 0.500
Hf1 Hf 0.000 0.000 0.500
Ir1 Ir 0.160 0.840 0.257
Ir2 Ir 0.160 0.840 0.743
Ir3 Ir 0.500 0.500 0.268
Ir4 Ir 0.500 0.500 0.732
Ir5 Ir 0.840 0.160 0.257
Ir6 Ir 0.840 0.160 0.743
```

Properties
**Energy of formation**: -842 meV/atom
**VASP energy**: -96.230 eV/cell
**Symmetry**: Cmmm
**Volume**: 236.16 Å³/cell

Compound: Dy3HfIr4
Source: Alexandria
Functional: PBE
Structure: optimized geometry

The structure in CIF format:
```
data_Dy3HfIr4
_cell_length_a 3.327
_cell_length_b 3.327
_cell_length_c 14.094
_cell_angle_alpha 90.00
_cell_angle_beta 90.00
_cell_angle_gamma 90.00
_space_group_name_H-M_alt 'P 1'
_space_group_IT_number 1
loop_
_space_group_symop_operation_xyz
'x,y,z'
loop_
_atom_site_label
_atom_site_type_symbol
_atom_site_fract_x
_atom_site_fract_y
_atom_site_fract_z
Dy1 Dy 0.000 0.000 0.000
Dy2 Dy 0.000 0.000 0.255
Dy3 Dy 0.000 0.000 0.745
Hf1 Hf 0.000 0.000 0.500
Ir1 Ir 0.500 0.500 0.129
Ir2 Ir 0.500 0.500 0.391
Ir3 Ir 0.500 0.500 0.609
Ir4 Ir 0.500 0.500 0.871
```

Properties
**Energy of formation**: -854 meV/atom
**VASP energy**: -66.035 eV/cell
**Symmetry**: P4/mmm
**Volume**: 156.02 Å³/cell

Compound: Dy2HfIr3
Source: Alexandria
Functional: PBE
Structure: optimized geometry

The structure in CIF format:
```
data_Dy2HfIr3
_cell_length_a 4.753
_cell_length_b 4.753
_cell_length_c 5.913
_cell_angle_alpha 90.00
_cell_angle_beta 90.00
_cell_angle_gamma 120.00
_space_group_name_H-M_alt 'P 1'
_space_group_IT_number 1
loop_
_space_group_symop_operation_xyz
'x,y,z'
loop_
_atom_site_label
_atom_site_type_symbol
_atom_site_fract_x
_atom_site_fract_y
_atom_site_fract_z
Dy1 Dy 0.333 0.667 0.163
Dy2 Dy 0.667 0.333 0.837
Hf1 Hf 0.000 0.000 0.500
Ir1 Ir 0.000 0.000 0.000
Ir2 Ir 0.333 0.667 0.642
Ir3 Ir 0.667 0.333 0.358
```

Properties
**Energy of formation**: -831 meV/atom
**VASP energy**: -50.725 eV/cell
**Symmetry**: P-3m1
**Volume**: 115.69 Å³/cell

Compound: DyHfIr4
Source: Alexandria
Functional: PBE
Structure: optimized geometry

The structure in CIF format:
```
data_DyHfIr4
_cell_length_a 5.293
_cell_length_b 5.293
_cell_length_c 5.293
_cell_angle_alpha 60.00
_cell_angle_beta 60.00
_cell_angle_gamma 60.00
_space_group_name_H-M_alt 'P 1'
_space_group_IT_number 1
loop_
_space_group_symop_operation_xyz
'x,y,z'
loop_
_atom_site_label
_atom_site_type_symbol
_atom_site_fract_x
_atom_site_fract_y
_atom_site_fract_z
Dy1 Dy 0.000 0.000 0.000
Hf1 Hf 0.750 0.750 0.750
Ir1 Ir 0.375 0.375 0.375
Ir2 Ir 0.375 0.375 0.875
Ir3 Ir 0.375 0.875 0.375
Ir4 Ir 0.875 0.375 0.375
```

Properties
**Energy of formation**: -710 meV/atom
**VASP energy**: -54.257 eV/cell
**Symmetry**: F-43m
**Volume**: 104.85 Å³/cell

Compound: DyHf2Ir
Source: Alexandria
Functional: PBE
Structure: optimized geometry

The structure in CIF format:
```
data_DyHf2Ir
_cell_length_a 4.832
_cell_length_b 4.832
_cell_length_c 4.832
_cell_angle_alpha 60.00
_cell_angle_beta 60.00
_cell_angle_gamma 60.00
_space_group_name_H-M_alt 'P 1'
_space_group_IT_number 1
loop_
_space_group_symop_operation_xyz
'x,y,z'
loop_
_atom_site_label
_atom_site_type_symbol
_atom_site_fract_x
_atom_site_fract_y
_atom_site_fract_z
Dy1 Dy 0.000 0.000 0.000
Hf1 Hf 0.250 0.250 0.250
Hf2 Hf 0.750 0.750 0.750
Ir1 Ir 0.500 0.500 0.500
```

Properties
**Energy of formation**: -186 meV/atom
**VASP energy**: -34.113 eV/cell
**Symmetry**: Fm-3m
**Volume**: 79.76 Å³/cell

Q: Which value of VASP energy does entry 9 give?
A: -66.035 eV/cell